[1]
Here is KZr2TaNb after structural relaxation from Alexandria via LeMat-Bulk. Energies are from PBE.

Results
Energy ... -6.808 eV per atom
N(E_F) ... 9.16 states/eV per cell
Size of the total moment ... 0.23 μB/atom
ΔH_f (0 K) ... 1.2152 eV per atom

Unit cell a=5.3307 b=5.3307 c=5.0202 alpha=90.00 beta=90.00 gamma=90.00
With the nearest neighbours (Å) after each atom.
Space group P4/mmm (No. 123)
Inequivalent atoms, fractional coordinates:
1 K 0.0000 0.0000 0.0000  8 Zr 3.66, 4 Ta 3.77
2 Zr 0.0000 0.5000 0.5000  2 Nb 2.67
3 Ta 0.5000 0.5000 0.0000  2 Nb 2.51
4 Nb 0.5000 0.5000 0.5000  2 Ta 2.51, 4 Zr 2.67

***

[2]
Here is KNbTc2 after structural relaxation from Alexandria via LeMat-Bulk. Energies are from PBE.

Results
Energy ... -6.666 eV per atom
N(E_F) ... 22.64 states/eV per cell
Size of the total moment ... 0.00 μB/atom
ΔH_f (0 K) ... 1.3091 eV per atom

Unit cell a=6.6056 b=6.6056 c=6.6056 alpha=90.00 beta=90.00 gamma=90.00
With the nearest neighbours (Å) after each atom.
Space group Fm-3m (No. 225)
Inequivalent atoms, fractional coordinates:
1 K 0.0000 0.0000 0.0000  8 Tc 2.86
2 Nb 0.0000 0.0000 0.5000  8 Tc 2.86
3 Tc 0.2500 0.2500 0.2500  4 Nb 2.86, 4 K 2.86

***

[3]
Here is KNbTc2 after structural relaxation from Alexandria via LeMat-Bulk. Energies are from PBE.

Results
Energy ... -6.453 eV per atom
N(E_F) ... 19.75 states/eV per cell
Size of the total moment ... 0.00 μB/atom
ΔH_f (0 K) ... 1.5220 eV per atom

Unit cell a=4.9804 b=4.9804 c=17.5118 alpha=90.00 beta=90.00 gamma=90.00
With the nearest neighbours (Å) after each atom.
Space group I4_1/amd (No. 141, origin choice 2)
Inequivalent atoms, fractional coordinates:
1 K 0.0000 0.2500 0.3750  4 Nb 3.52, 8 Tc 3.54
2 Nb 0.0000 0.2500 0.8750  4 Tc 2.52
3 Tc 0.0000 0.0000 0.0000  2 Tc 2.49, 2 Nb 2.52

***

[4]
Here is K2NbTc after structural relaxation from Alexandria via LeMat-Bulk. Energies are from PBE.

Results
Energy ... -3.170 eV per atom
N(E_F) ... 24.95 states/eV per cell
Size of the total moment ... 0.00 μB/atom
ΔH_f (0 K) ... 2.4877 eV per atom

Unit cell a=7.4480 b=7.4480 c=7.4480 alpha=90.00 beta=90.00 gamma=90.00
With the nearest neighbours (Å) after each atom.
Space group Fm-3m (No. 225)
Inequivalent atoms, fractional coordinates:
1 K 0.2500 0.2500 0.2500  4 Nb 3.23, 4 Tc 3.23
2 Nb 0.0000 0.0000 0.0000  8 K 3.23
3 Tc 0.0000 0.0000 0.5000  8 K 3.23

***

Repeat the second record exactly.
Here is KNbTc2 after structural relaxation from Alexandria via LeMat-Bulk. Energies are from PBE.

Results
Energy ... -6.666 eV per atom
N(E_F) ... 22.64 states/eV per cell
Size of the total moment ... 0.00 μB/atom
ΔH_f (0 K) ... 1.3091 eV per atom

Unit cell a=6.6056 b=6.6056 c=6.6056 alpha=90.00 beta=90.00 gamma=90.00
With the nearest neighbours (Å) after each atom.
Space group Fm-3m (No. 225)
Inequivalent atoms, fractional coordinates:
1 K 0.0000 0.0000 0.0000  8 Tc 2.86
2 Nb 0.0000 0.0000 0.5000  8 Tc 2.86
3 Tc 0.2500 0.2500 0.2500  4 Nb 2.86, 4 K 2.86